{"formula": "K2WCl4O2", "functional": "GGA+U", "state": "relaxed", "lattice_angstrom": [[6.1054, -3.4651, 0.0000], [6.1054, 3.4651, 0.0000], [-3.8396, 0.0000, 5.6869]], "species": ["K", "K", "W", "Cl", "Cl", "Cl", "Cl", "O", "O"], "frac_coords": [[0.2441, 0.2441, 0.2933], [0.7559, 0.7559, 0.7067], [0.5000, 0.5000, 0.0000], [0.2027, 0.6955, 0.1879], [0.3045, 0.7973, 0.8121], [0.6955, 0.2027, 0.1879], [0.7973, 0.3045, 0.8121], [0.3285, 0.3285, 0.7430], [0.6715, 0.6715, 0.2570]], "rho_g_cm3": 3.008, "dft_energy_ry_per_atom": -0.32951, "vol_a3_per_atom": 26.7}